A relaxed structure of MgAlSn3, computed with PBE.

CIF file:
```
data_MgAlSn3
_chemical_formula_sum 'Mg1 Al1 Sn3'
_cell_length_a 5.382
_cell_length_b 5.382
_cell_length_c 5.382
_cell_angle_alpha 90.00
_cell_angle_beta 90.00
_cell_angle_gamma 90.00
_symmetry_space_group_name_H-M 'P m -3 m'
_symmetry_Int_Tables_number 221
_symmetry_space_group_name_Hall '-P 4 2 3'
loop_
_atom_site_label
_atom_site_type_symbol
_atom_site_fract_x
_atom_site_fract_y
_atom_site_fract_z
_atom_site_occupancy
Mg1 Mg 0.000 0.000 0.000 1
Al1 Al 0.500 0.500 0.500 1
Sn1 Sn 0.000 0.000 0.500 1
```

* energy relative to the elements: 3.025 eV/f.u.
* offset from the most stable computed form: 212 meV per atom
* magnetization: 0.00 μB/f.u.